The following is a DFT calculation (PBE) of a relaxed structure of Nd6Y8Th.

Cell lengths 9.1574, 9.1574, 21.0750 Å; angles 90.00, 90.00, 120.00 degrees
Closest atoms and distances in Å follow each position.
Space group R-3 (No. 148, hexagonal axes)
Unique sites:
Nd  0.0580  0.8098  0.2106  4 Y 3.43-3.67, 1 Th 3.50, 2 Nd 3.57
Y  0.0000  0.0000  0.0775  4 Y 3.27-3.46, 3 Nd 3.48
Y  0.0817  0.5173  0.3050  3 Nd 3.43-3.67, 5 Y 3.46-3.51, 1 Th 3.54
Th  0.0000  0.0000  0.5000  6 Nd 3.50, 6 Y 3.54

Formation energy from the elements in kJ/mol of formula units: 169
Magnetic moment in μB/cell: 0.00

---

The following is a DFT calculation (PBE) of a relaxed structure of NdY4Th2.

Cell lengths 3.5332, 8.8142, 8.8771 Å; angles 119.36, 90.06, 101.51 degrees
Closest atoms and distances in Å follow each position.
Space group P-1 (No. 2)
Unique sites:
Nd  0.0000  0.0000  0.0000  2 Th 3.43, 2 Nd 3.53, 4 Y 3.65-3.66
Y  0.2944  0.5869  0.7052  3 Th 3.40-3.66, 7 Y 3.53-3.78, 2 Nd 3.65-3.66
Y  0.3524  0.7071  0.1548  7 Y 3.53-3.78, 4 Th 3.64-3.72, 2 Nd 3.86
Th  0.0678  0.1364  0.4353  1 Th 3.10, 1 Y 3.40, 1 Nd 3.43

Formation energy from the elements in kJ/mol of formula units: 57
Distance to the lowest polymorph of the same formula in meV/atom: 0
Magnetic moment in μB/cell: 0.00